Compound: Au6SI
Source: OQMD via LeMat-Bulk
Functional: PBE
Structure: optimized geometry

Cell: 6.6914 6.6914 6.6914 Å, 60.00 60.00 60.00°
Element x y z (fractional)
Au 0.9587 0.9587 0.5413
Au 0.5413 0.9587 0.9587
Au 0.9587 0.5413 0.9587
I 0.2500 0.2500 0.2500
Au 0.5413 0.9587 0.5413
Au 0.5413 0.5413 0.9587
Au 0.9587 0.5413 0.5413
S 0.0000 0.0000 0.0000

Summary:
The value obtained for the total energy is -2.5405 eV/atom.